An optimized crystal structure of CrFe3. Source: the Alexandria database, functional PBEsol.

Lattice parameters (Å, degrees): 4.009 4.009 2.848 90.00 90.00 90.00
Space group P4/mmm (No. 123)
Symmetry-distinct sites (fractional):
Cr (0.000, 0.000, 0.000) x1
Fe (0.000, 0.500, 0.500) x2
Fe (0.500, 0.500, 0.000) x1

Values from the calculation:
Formation energy ... 104 meV per atom

---

An optimized crystal structure of MnNi2P. Source: the Alexandria database, functional PBEsol.

Lattice parameters (Å, degrees): 3.525 3.525 6.821 90.00 90.00 90.00
Space group I-4m2 (No. 119)
Symmetry-distinct sites (fractional):
Mn (0.000, 0.000, 0.000) x2
Ni (0.000, 0.000, 0.500) x2
Ni (0.000, 0.500, 0.750) x2
P (0.000, 0.500, 0.250) x2

Values from the calculation:
Formation energy ... -254 meV per atom

---

An optimized crystal structure of TlZnSi2. Source: the Alexandria database, functional PBEsol.

Lattice parameters (Å, degrees): 3.147 3.399 7.210 90.00 102.12 90.00
Space group Pm (No. 6)
Symmetry-distinct sites (fractional):
Tl (0.000, 0.000, 0.000) x1
Zn (0.637, 0.500, 0.282) x1
Si (0.253, 0.000, 0.501) x1
Si (0.821, 0.500, 0.645) x1

Values from the calculation:
Formation energy without anion corrections ... 0.3104 eV/atom

---

An optimized crystal structure of FeAu2Se. Source: the Alexandria database, functional PBEsol.

Lattice parameters (Å, degrees): 5.320 9.900 3.535 90.00 131.51 90.00
Space group C2/m (No. 12)
Symmetry-distinct sites (fractional):
Fe (0.000, 0.000, 0.000) x2
Au (0.250, 0.250, 0.000) x4
Se (0.000, 0.500, 0.000) x2

Values from the calculation:
Formation energy without anion corrections ... 0.3209 eV/atom

---

An optimized crystal structure of BaMg2Fe. Source: the Alexandria database, functional PBEsol.

Lattice parameters (Å, degrees): 6.037 10.359 3.142 90.00 90.00 90.00
Space group Cmmm (No. 65)
Symmetry-distinct sites (fractional):
Ba (0.000, 0.000, 0.000) x2
Mg (0.250, 0.250, 0.500) x4
Fe (0.000, 0.500, 0.000) x2

Values from the calculation:
Formation energy ... 687 meV per atom

---

An optimized crystal structure of BaTe3Rh. Source: the Alexandria database, functional PBEsol.

Lattice parameters (Å, degrees): 5.279 5.279 5.279 90.00 90.00 90.00
Space group Pm-3m (No. 221)
Symmetry-distinct sites (fractional):
Ba (0.000, 0.000, 0.000) x1
Te (0.000, 0.500, 0.500) x3
Rh (0.500, 0.500, 0.500) x1

Values from the calculation:
Formation energy without anion corrections ... -0.5964 eV/atom

---

An optimized crystal structure of Na2FeCSO7. Source: the Alexandria database, functional PBEsol.

Lattice parameters (Å, degrees): 5.200 6.650 8.978 90.00 91.35 90.00
Space group P2_1/m (No. 11)
Symmetry-distinct sites (fractional):
Na (0.233, 0.003, 0.286) x4
Fe (0.221, 0.750, 0.858) x2
C (0.274, 0.750, 0.581) x2
S (0.275, 0.250, 0.924) x2
O (0.044, 0.750, 0.635) x2
O (0.167, 0.250, 0.077) x2
O (0.185, 0.069, 0.841) x4
O (0.319, 0.750, 0.444) x2
O (0.437, 0.750, 0.063) x2
O (0.461, 0.750, 0.683) x2

Values from the calculation:
Formation energy without anion corrections ... -1.5061 eV/atom

---

An optimized crystal structure of Dy2CdGe2. Source: the Alexandria database, functional PBEsol.

Lattice parameters (Å, degrees): 7.190 7.190 4.133 90.00 90.00 90.00
Space group P4/mbm (No. 127)
Symmetry-distinct sites (fractional):
Dy (0.178, 0.322, 0.000) x4
Cd (0.000, 0.000, 0.500) x2
Ge (0.122, 0.622, 0.500) x4

Values from the calculation:
Formation energy ... -785 meV per atom

---

| no. | density of states at the Fermi level (states/eV/f.u.) | magnetization (μB per cell) |
| --- | --- | --- |
| 1 | 4.7 | 4.99 |
| 2 | 2.7 | 6.17 |
| 3 | 1.6 | 0.00 |
| 4 | 3.4 | 6.66 |
| 5 | 3.8 | 4.62 |
| 6 | 4.9 | 0.00 |
| 7 | 6.0 | 8.00 |
| 8 | 1.6 | 0.00 |